(1)
## NbSnPb (PBE)

Data for a relaxed structure of NbSnPb.

```
NbSnPb
1.0
0.000 3.443 3.443
3.443 0.000 3.443
3.443 3.443 0.000
Nb Sn Pb
1 1 1
direct
0.000 0.000 0.000
0.250 0.250 0.250
0.750 0.750 0.750
```

Symmetry: F-43m (216)


(2)
## BaPdSeO (PBE)

Data for a relaxed structure of BaPdSeO.

```
BaPdSeO
1.0
6.217 0.000 0.000
0.000 6.217 0.000
0.000 0.000 6.314
Ba Pd Se O
2 2 2 2
direct
0.250 0.750 0.000
0.750 0.250 0.000
0.250 0.250 0.178
0.750 0.750 0.822
0.250 0.250 0.787
0.750 0.750 0.213
0.250 0.250 0.483
0.750 0.750 0.517
```

Symmetry: P4/nmm (129)


(3)
## InFe2Si (PBE)

Data for a relaxed structure of InFe2Si.

```
InFe2Si
1.0
5.899 0.000 0.000
0.000 5.899 0.000
0.000 0.000 5.899
In Fe Si
4 8 4
direct
0.000 0.000 0.000
0.000 0.000 0.500
0.000 0.500 0.000
0.500 0.000 0.000
0.271 0.271 0.271
0.271 0.271 0.729
0.271 0.729 0.271
0.271 0.729 0.729
0.729 0.271 0.271
0.729 0.271 0.729
0.729 0.729 0.271
0.729 0.729 0.729
0.000 0.500 0.500
0.500 0.000 0.500
0.500 0.500 0.000
0.500 0.500 0.500
```

Symmetry: Pm-3m (221)


(4)
## HfMgCo (PBE)

Data for a relaxed structure of HfMgCo.

```
HfMgCo
1.0
0.000 3.112 3.112
3.112 0.000 3.112
3.112 3.112 0.000
Hf Mg Co
1 1 1
direct
0.000 0.000 0.000
0.250 0.250 0.250
0.750 0.750 0.750
```

Symmetry: F-43m (216)


(5)
## PmCu4Au8 (PBE)

Data for a relaxed structure of PmCu4Au8.

```
PmCu4Au8
1.0
-4.604 4.604 2.655
4.604 -4.604 2.655
4.604 4.604 -2.655
Pm Cu Au
1 4 8
direct
0.000 0.000 0.000
0.000 0.000 0.500
0.000 0.500 0.000
0.500 0.000 0.000
0.500 0.500 0.500
0.000 0.338 0.338
0.000 0.662 0.662
0.281 0.500 0.781
0.338 0.000 0.338
0.500 0.281 0.781
0.500 0.719 0.219
0.662 0.000 0.662
0.719 0.500 0.219
```

DFT formation energy, eV per atom: -0.27
Symmetry: I4/mmm (139)


(6)
## AlFeAu (PBE)

Data for a relaxed structure of AlFeAu.

```
AlFeAu
1.0
0.000 2.994 2.994
2.994 0.000 2.994
2.994 2.994 0.000
Al Fe Au
1 1 1
direct
0.000 0.000 0.000
0.500 0.500 0.500
0.250 0.250 0.250
```

Symmetry: F-43m (216)


(7)
## LuSnTeAuSe2 (PBE)

Data for a relaxed structure of LuSnTeAuSe2.

```
LuSnTeAuSe2
1.0
2.030 -7.029 0.000
2.030 7.029 0.000
0.000 0.000 11.006
Lu Sn Te Au Se
2 2 2 2 4
direct
0.000 0.000 0.000
0.000 0.000 0.500
0.202 0.798 0.750
0.798 0.202 0.250
0.105 0.895 0.250
0.895 0.105 0.750
0.468 0.532 0.250
0.532 0.468 0.750
0.363 0.637 0.051
0.363 0.637 0.449
0.637 0.363 0.551
0.637 0.363 0.949
```

Symmetry: Cmcm (63)


(8)
## Ba2AgIr (PBE)

Data for a relaxed structure of Ba2AgIr.

```
Ba2AgIr
1.0
0.000 3.775 3.775
3.775 0.000 3.775
3.775 3.775 0.000
Ba Ag Ir
2 1 1
direct
0.000 0.000 0.000
0.250 0.250 0.250
0.750 0.750 0.750
0.500 0.500 0.500
```

Symmetry: F-43m (216)


Taking the records one at a time from the top gives electronic total energy values of -5.37; -4.41; -6.16; -5.38; -3.79; -5.02; -4.42; -3.67 eV/atom.